! PBE LaTl2Ga, relaxed; values from VASP
&SYSTEM
  ibrav = 0, nat = 4, ntyp = 3
/
ATOMIC_SPECIES
La 138.91 La.upf
Tl 204.38 Tl.upf
Ga 69.72 Ga.upf
CELL_PARAMETERS angstrom
4.7143 0.0000 0.0000
0.0000 4.7143 0.0000
0.0000 0.0000 4.8627
ATOMIC_POSITIONS crystal
La 0.0000 0.0000 0.0000
Tl 0.0000 0.5000 0.5000
Tl 0.5000 0.0000 0.5000
Ga 0.5000 0.5000 0.0000
! Total moment, Bohr magnetons per cell: 0.0
! Space-group type: P4/mmm, No. 123
! Offset from the most stable computed form, meV/atom: 0
! Formation energy, eV per atom: -0.37